No. 1
{
  "formula": "BiAsS2",
  "functional": "meta-GGA SCAN",
  "state": "single point on PBEsol structure",
  "rho_g_cm3": 6.7,
  "energy_ev_per_cell": -234.95,
  "cell": [[-3.6336, 3.6336, 3.2714], [3.6336, -3.6336, 3.2714], [3.6336, 3.6336, -3.2714]],
  "species": ["Bi", "Bi", "As", "As", "S", "S", "S", "S"],
  "fractional_positions": [[0.0000, 0.0000, 0.0000], [0.7500, 0.2500, 0.5000], [0.2500, 0.7500, 0.5000], [0.5000, 0.5000, 0.0000], [0.1534, 0.1250, 0.5284], [0.3750, 0.8466, 0.9716], [0.5966, 0.6250, 0.4716], [0.8750, 0.4034, 0.0284]]
}


No. 2
{
  "formula": "BiAsSe2S",
  "functional": "meta-GGA SCAN",
  "state": "single point on PBEsol structure",
  "rho_g_cm3": 7.0,
  "energy_ev_per_cell": -146.19,
  "cell": [[4.8717, 0.0000, 0.0000], [0.0000, 4.8717, 0.0000], [0.0000, 0.0000, 4.7473]],
  "species": ["Bi", "As", "Se", "Se", "S"],
  "fractional_positions": [[0.0000, 0.0000, 0.0000], [0.5000, 0.5000, 0.0000], [0.0000, 0.5000, 0.5000], [0.5000, 0.0000, 0.5000], [0.5000, 0.5000, 0.5000]]
}


No. 3
{
  "formula": "Sc2BiAs2",
  "functional": "meta-GGA SCAN",
  "state": "single point on PBEsol structure",
  "ef_ev_per_fu": -4.31,
  "rho_g_cm3": 7.0,
  "energy_ev_per_cell": -151.75,
  "cell": [[-1.9162, 1.9162, 7.2838], [1.9162, -1.9162, 7.2838], [1.9162, 1.9162, -7.2838]],
  "species": ["Sc", "Sc", "Bi", "As", "As"],
  "fractional_positions": [[0.1131, 0.1131, 0.0000], [0.8869, 0.8869, 0.0000], [0.5000, 0.5000, 0.0000], [0.2500, 0.7500, 0.5000], [0.7500, 0.2500, 0.5000]]
}


No. 4
{
  "formula": "Sc2BiAs",
  "functional": "meta-GGA SCAN",
  "state": "single point on PBEsol structure",
  "ef_ev_per_fu": -2.57,
  "rho_g_cm3": 7.1,
  "energy_ev_per_cell": -129.81,
  "cell": [[0.0000, 3.5162, 3.5162], [3.5162, 0.0000, 3.5162], [3.5162, 3.5162, 0.0000]],
  "species": ["Sc", "Sc", "Bi", "As"],
  "fractional_positions": [[0.2500, 0.2500, 0.2500], [0.7500, 0.7500, 0.7500], [0.0000, 0.0000, 0.0000], [0.5000, 0.5000, 0.5000]]
}


No. 5
{
  "formula": "ScBiAs2Se",
  "functional": "meta-GGA SCAN",
  "state": "single point on PBEsol structure",
  "rho_g_cm3": 5.5,
  "energy_ev_per_cell": -150.08,
  "cell": [[5.2463, 0.0000, 0.0000], [0.0000, 5.2463, 0.0000], [0.0000, 0.0000, 5.3400]],
  "species": ["Sc", "Bi", "As", "As", "Se"],
  "fractional_positions": [[0.0000, 0.0000, 0.0000], [0.5000, 0.5000, 0.5000], [0.0000, 0.5000, 0.5000], [0.5000, 0.0000, 0.5000], [0.5000, 0.5000, 0.0000]]
}


No. 6
{
  "formula": "BiAsSe3",
  "functional": "meta-GGA SCAN",
  "state": "single point on PBEsol structure",
  "rho_g_cm3": 5.7,
  "energy_ev_per_cell": -154.33,
  "cell": [[5.3410, 0.0000, 0.0000], [0.0000, 5.3410, 0.0000], [0.0000, 0.0000, 5.3410]],
  "species": ["Bi", "As", "Se", "Se", "Se"],
  "fractional_positions": [[0.0000, 0.0000, 0.0000], [0.5000, 0.5000, 0.5000], [0.0000, 0.0000, 0.5000], [0.0000, 0.5000, 0.0000], [0.5000, 0.0000, 0.0000]]
}